# Ba2Hg6Pd

A relaxed structure of Ba2Hg6Pd (PBE, the Alexandria database).

```
Ba2Hg6Pd
1.0
4.0352 -6.3938 0.0000
4.0352 6.3938 0.0000
0.0000 0.0000 4.9695
Ba Hg Pd
2 6 1
direct
0.1934 0.8066 0.0000
0.8066 0.1934 0.0000
0.1761 0.4386 0.5000
0.3125 0.3125 0.0000
0.4386 0.1761 0.5000
0.5614 0.8239 0.5000
0.6875 0.6875 0.0000
0.8239 0.5614 0.5000
0.0000 0.0000 0.5000
```

Properties
ΔE_f ... -0.3751 eV per atom
Volume ... 256.43 Å³ per cell
Relative energy among the computed polymorphs ... 17.2 meV per atom

=====

# Ba8Hg2Pd3

A relaxed structure of Ba8Hg2Pd3 (PBE, the Alexandria database).

```
Ba8Hg2Pd3
1.0
9.9559 0.0000 0.0000
0.0000 5.6573 0.0000
-3.3900 0.0000 9.3730
Ba Hg Pd
8 2 3
direct
0.1146 0.0000 0.3860
0.1264 0.5000 0.8598
0.3602 0.5000 0.6265
0.3815 0.0000 0.1182
0.6185 0.0000 0.8818
0.6398 0.5000 0.3735
0.8736 0.5000 0.1402
0.8854 0.0000 0.6140
0.2548 0.5000 0.2450
0.7452 0.5000 0.7550
0.0000 0.5000 0.5000
0.2575 0.0000 0.7573
0.7425 0.0000 0.2427
```

Properties
ΔE_f ... -0.3769 eV per atom
Volume ... 527.92 Å³ per cell

=====

# Ba6Hg5Pd

A relaxed structure of Ba6Hg5Pd (PBE, the Alexandria database).

```
Ba6Hg5Pd
1.0
9.3028 -4.1301 0.0000
9.3028 4.1301 0.0000
-1.8587 0.0000 5.5973
Ba Hg Pd
6 5 1
direct
0.0824 0.5956 0.3390
0.2391 0.7609 0.0000
0.4044 0.9176 0.6610
0.5956 0.0824 0.3390
0.7609 0.2391 0.0000
0.9176 0.4044 0.6610
0.1764 0.1764 0.1765
0.3337 0.3337 0.8336
0.5000 0.5000 0.5000
0.6663 0.6663 0.1664
0.8236 0.8236 0.8235
0.0000 0.0000 0.5000
```

Properties
ΔE_f ... -0.4954 eV per atom
Volume ... 430.12 Å³ per cell

=====

# Ba4HgPd

A relaxed structure of Ba4HgPd (PBE, the Alexandria database).

```
Ba4HgPd
1.0
5.1838 -8.5094 0.0000
5.1838 8.5094 0.0000
-4.7242 0.0000 6.4290
Ba Hg Pd
8 2 2
direct
0.0624 0.6497 0.8634
0.2152 0.2913 0.7356
0.2913 0.2152 0.2356
0.3503 0.9376 0.6366
0.6497 0.0624 0.3634
0.7087 0.7848 0.7644
0.7848 0.7087 0.2644
0.9376 0.3503 0.1366
0.3720 0.6280 0.2500
0.6280 0.3720 0.7500
0.0701 0.9299 0.7500
0.9299 0.0701 0.2500
```

Properties
ΔE_f ... -0.3484 eV per atom
Volume ... 567.18 Å³ per cell
Relative energy among the computed polymorphs ... 0.0 meV per atom

=====

# Ba2Hg4Pd3

A relaxed structure of Ba2Hg4Pd3 (PBE, the Alexandria database).

```
Ba2Hg4Pd3
1.0
0.0000 5.0896 7.4152
2.9564 0.0000 7.4152
2.9564 5.0896 0.0000
Ba Hg Pd
2 4 3
direct
0.1253 0.1253 0.8747
0.8747 0.8747 0.1253
0.1739 0.5039 0.4961
0.4961 0.8261 0.1739
0.5039 0.1739 0.8261
0.8261 0.4961 0.5039
0.0000 0.0000 0.5000
0.5000 0.5000 0.0000
0.5000 0.5000 0.5000
```

Properties
ΔE_f ... -0.4565 eV per atom
Volume ... 223.15 Å³ per cell

=====

# Ba4HgPd2

A relaxed structure of Ba4HgPd2 (PBE, the Alexandria database).

```
Ba4HgPd2
1.0
-5.0868 5.0868 5.0388
5.0868 -5.0868 5.0388
5.0868 5.0868 -5.0388
Ba Hg Pd
8 2 4
direct
0.0064 0.3924 0.2533
0.1391 0.7531 0.7467
0.1424 0.2564 0.7533
0.2469 0.9936 0.3860
0.5031 0.3891 0.2467
0.6076 0.8609 0.6140
0.6109 0.8576 0.1140
0.7436 0.4969 0.8860
0.0000 0.0000 0.0000
0.7500 0.2500 0.5000
0.2437 0.6250 0.1187
0.3750 0.4937 0.6187
0.5063 0.1250 0.8813
0.8750 0.7563 0.3813
```

Properties
ΔE_f ... -0.4429 eV per atom
Volume ... 521.53 Å³ per cell

=====

The following DFT total energy values (in eV per cell) correspond, in order, to the records above: -14.22, -36.46, -24.18, -30.55, -24.74, -42.96.